# TmGa3Fe3 PBE optimized geometry
data_TmGa3Fe3
_symmetry_space_group_name_H-M 'P 63/m'
_symmetry_Int_Tables_number 176
_symmetry_space_group_name_Hall '-P 6c'
_cell_length_a 7.7499
_cell_length_b 7.7499
_cell_length_c 4.2464
_cell_angle_alpha 90.00
_cell_angle_beta 90.00
_cell_angle_gamma 120.00
loop_
_atom_site_label
_atom_site_fract_x
_atom_site_fract_y
_atom_site_fract_z
Tm1 0.3333 0.6667 0.2500
Ga1 0.0709 0.4102 0.7500
Fe1 0.0283 0.2029 0.2500
# - excess energy over the best structure of this formula in the dataset (kJ per mole of atoms) = 0.00
# - DOS(E_F) (states/eV/f.u.) = 5.79
# - total moment (μB/cell) = 12.6

***

# TmGaFe PBE optimized geometry
data_TmGaFe
_symmetry_space_group_name_H-M 'I m m a'
_symmetry_Int_Tables_number 74
_symmetry_space_group_name_Hall '-I 2b 2'
_cell_length_a 5.2143
_cell_length_b 5.4055
_cell_length_c 7.2641
_cell_angle_alpha 90.00
_cell_angle_beta 90.00
_cell_angle_gamma 90.00
loop_
_atom_site_label
_atom_site_fract_x
_atom_site_fract_y
_atom_site_fract_z
Tm1 0.0000 0.2500 0.1143
Ga1 0.0000 0.0000 0.5000
Fe1 0.2500 0.2500 0.7500
# - DOS(E_F) (states/eV/f.u.) = 2.35
# - uncorrected energy (eV per atom) = -5.698
# - total moment (μB/cell) = 6.2

***

# TmGaFe PBE optimized geometry
data_TmGaFe
_symmetry_space_group_name_H-M 'P -6 m 2'
_symmetry_Int_Tables_number 187
_symmetry_space_group_name_Hall 'P -6 2'
_cell_length_a 4.2465
_cell_length_b 4.2465
_cell_length_c 3.5900
_cell_angle_alpha 90.00
_cell_angle_beta 90.00
_cell_angle_gamma 120.00
loop_
_atom_site_label
_atom_site_fract_x
_atom_site_fract_y
_atom_site_fract_z
Tm1 0.0000 0.0000 0.0000
Ga1 0.3333 0.6667 0.5000
Fe1 0.6667 0.3333 0.5000
# - DOS(E_F) (states/eV/f.u.) = 4.66
# - uncorrected energy (eV per atom) = -5.561
# - total moment (μB/cell) = 1.8

***

# U2Ga5Fe3 PBE optimized geometry
data_U2Ga5Fe3
_symmetry_space_group_name_H-M 'C m c 21'
_symmetry_Int_Tables_number 36
_cell_length_a 3.9820
_cell_length_b 23.9412
_cell_length_c 6.7913
_cell_angle_alpha 90.00
_cell_angle_beta 90.00
_cell_angle_gamma 90.00
loop_
_symmetry_equiv_pos_as_xyz
'x,y,z'
'-x,-y,z+1/2'
'-x,y,z'
'x,-y,z+1/2'
'x+1/2,y+1/2,z'
'-x+1/2,-y+1/2,z+1/2'
'-x+1/2,y+1/2,z'
'x+1/2,-y+1/2,z+1/2'
loop_
_atom_site_label
_atom_site_fract_x
_atom_site_fract_y
_atom_site_fract_z
U1 0.0000 0.0328 0.0000
U2 0.0000 0.3213 0.8900
Ga1 0.0000 0.0972 0.5955
Ga2 0.0000 0.2031 0.0729
Ga3 0.0000 0.2075 0.6910
Ga4 0.0000 0.3682 0.4345
Ga5 0.0000 0.4469 0.8471
Fe1 0.0000 0.1020 0.1973
Fe2 0.0000 0.2603 0.3768
Fe3 0.0000 0.4565 0.2245
# - DOS(E_F) (states/eV/f.u.) = 11.08
# - uncorrected energy (eV per atom) = -6.497
# - total moment (μB/cell) = 2.4

***

# UGaFe2 PBE optimized geometry
data_UGaFe2
_symmetry_space_group_name_H-M 'P 4/m m m'
_symmetry_Int_Tables_number 123
_symmetry_space_group_name_Hall '-P 4 2'
_cell_length_a 4.1739
_cell_length_b 4.1739
_cell_length_c 3.3214
_cell_angle_alpha 90.00
_cell_angle_beta 90.00
_cell_angle_gamma 90.00
loop_
_atom_site_label
_atom_site_fract_x
_atom_site_fract_y
_atom_site_fract_z
U1 0.0000 0.0000 0.0000
Ga1 0.5000 0.5000 0.0000
Fe1 0.0000 0.5000 0.5000
# - DOS(E_F) (states/eV/f.u.) = 5.10
# - uncorrected energy (eV per atom) = -7.900
# - total moment (μB/cell) = 0.4

***

# U2GaFe PBE optimized geometry
data_U2GaFe
_symmetry_space_group_name_H-M 'R -3 m'
_symmetry_Int_Tables_number 166
_symmetry_space_group_name_Hall '-R 3 2"'
_cell_length_a 2.9360
_cell_length_b 2.9360
_cell_length_c 31.0688
_cell_angle_alpha 90.00
_cell_angle_beta 90.00
_cell_angle_gamma 120.00
loop_
_atom_site_label
_atom_site_fract_x
_atom_site_fract_y
_atom_site_fract_z
U1 0.0000 0.0000 0.0967
Ga1 0.0000 0.0000 0.0000
Fe1 0.0000 0.0000 0.5000
# - DOS(E_F) (states/eV/f.u.) = 8.75
# - uncorrected energy (eV per atom) = -8.161
# - total moment (μB/cell) = 4.6

***

# U3Ga2Fe4 PBE optimized geometry
data_U3Ga2Fe4
_symmetry_space_group_name_H-M 'C 1 2/m 1'
_symmetry_Int_Tables_number 12
_cell_length_a 8.0906
_cell_length_b 4.3454
_cell_length_c 8.3995
_cell_angle_alpha 90.00
_cell_angle_beta 90.57
_cell_angle_gamma 90.00
loop_
_symmetry_equiv_pos_as_xyz
'x,y,z'
'-x,-y,-z'
'-x,y,-z'
'x,-y,z'
'x+1/2,y+1/2,z'
'-x+1/2,-y+1/2,-z'
'-x+1/2,y+1/2,-z'
'x+1/2,-y+1/2,z'
loop_
_atom_site_label
_atom_site_fract_x
_atom_site_fract_y
_atom_site_fract_z
U1 0.0000 0.0000 0.0000
U2 0.1355 0.5000 0.4129
Ga1 0.1752 0.5000 0.7853
Fe1 0.0981 0.0000 0.6393
Fe2 0.2432 0.5000 0.0843
# - DOS(E_F) (states/eV/f.u.) = 11.02
# - uncorrected energy (eV per atom) = -8.415
# - total moment (μB/cell) = 0.0

***

# UGaFe2 PBE optimized geometry
data_UGaFe2
_symmetry_space_group_name_H-M 'P 4/m m m'
_symmetry_Int_Tables_number 123
_symmetry_space_group_name_Hall '-P 4 2'
_cell_length_a 2.8986
_cell_length_b 2.8986
_cell_length_c 6.6300
_cell_angle_alpha 90.00
_cell_angle_beta 90.00
_cell_angle_gamma 90.00
loop_
_atom_site_label
_atom_site_fract_x
_atom_site_fract_y
_atom_site_fract_z
U1 0.0000 0.0000 0.0000
Ga1 0.0000 0.0000 0.5000
Fe1 0.5000 0.5000 0.2808
# - DOS(E_F) (states/eV/f.u.) = 5.94
# - uncorrected energy (eV per atom) = -7.839
# - total moment (μB/cell) = 0.1

***

# U4Ga12Fe PBE optimized geometry
data_U4Ga12Fe
_symmetry_space_group_name_H-M 'I m -3 m'
_symmetry_Int_Tables_number 229
_symmetry_space_group_name_Hall '-I 4 2 3'
_cell_length_a 8.5547
_cell_length_b 8.5547
_cell_length_c 8.5547
_cell_angle_alpha 90.00
_cell_angle_beta 90.00
_cell_angle_gamma 90.00
loop_
_atom_site_label
_atom_site_fract_x
_atom_site_fract_y
_atom_site_fract_z
U1 0.2500 0.2500 0.2500
Ga1 0.0000 0.0000 0.2844
Ga2 0.0000 0.2500 0.5000
Fe1 0.0000 0.0000 0.0000
# - DOS(E_F) (states/eV/f.u.) = 27.39
# - uncorrected energy (eV per atom) = -5.522
# - total moment (μB/cell) = 15.4

***

# U2Ga3Fe4 PBE optimized geometry
data_U2Ga3Fe4
_symmetry_space_group_name_H-M 'C 1 2/m 1'
_symmetry_Int_Tables_number 12
_cell_length_a 8.2354
_cell_length_b 4.1245
_cell_length_c 8.1069
_cell_angle_alpha 90.00
_cell_angle_beta 90.38
_cell_angle_gamma 90.00
loop_
_symmetry_equiv_pos_as_xyz
'x,y,z'
'-x,-y,-z'
'-x,y,-z'
'x,-y,z'
'x+1/2,y+1/2,z'
'-x+1/2,-y+1/2,-z'
'-x+1/2,y+1/2,-z'
'x+1/2,-y+1/2,z'
loop_
_atom_site_label
_atom_site_fract_x
_atom_site_fract_y
_atom_site_fract_z
U1 0.1796 0.0000 0.2756
Ga1 0.0000 0.5000 0.5000
Ga2 0.1281 0.0000 0.9100
Fe1 0.0763 0.5000 0.1325
Fe2 0.2165 0.0000 0.6075
# - DOS(E_F) (states/eV/f.u.) = 10.04
# - uncorrected energy (eV per atom) = -7.357
# - total moment (μB/cell) = 0.0

***

# V5GaFe6 PBE optimized geometry
data_V5GaFe6
_symmetry_space_group_name_H-M 'I m m m'
_symmetry_Int_Tables_number 71
_symmetry_space_group_name_Hall '-I 2 2'
_cell_length_a 4.0671
_cell_length_b 5.7287
_cell_length_c 12.1848
_cell_angle_alpha 90.00
_cell_angle_beta 90.00
_cell_angle_gamma 90.00
loop_
_atom_site_label
_atom_site_fract_x
_atom_site_fract_y
_atom_site_fract_z
V1 0.0000 0.0000 0.0000
V2 0.0000 0.0000 0.3355
V3 0.0000 0.5000 0.3333
Ga1 0.0000 0.5000 0.0000
Fe1 0.0000 0.2463 0.1702
Fe2 0.0000 0.2582 0.5000
# - DOS(E_F) (states/eV/f.u.) = 12.14
# - uncorrected energy (eV per atom) = -8.455
# - total moment (μB/cell) = 6.2